A plane-wave DFT calculation with PBE-GGA was carried out for a geometry-optimized NdNi2SnGe structure.

Properties
- total moment (μB/cell) = 0.00
- E (eV per atom) = -5.529
- ρ (g cm⁻³) = 8.2
- volume (Å³/cell) = 184.4

Cell lengths 4.2806, 4.2806, 10.0641 Å; angles 90.00, 90.00, 90.00 degrees
With the nearest neighbours (Å) after each atom.
Element x y z (fractional)
1 Ni 0.0000 0.0000 0.0000  4 Ge 2.44
2 Sn 0.0000 0.0000 0.5000  4 Ni 2.61
3 Nd 0.0000 0.5000 0.7711  8 Ni 3.14-3.27, 5 Ge 3.23-3.49, 4 Sn 3.47
4 Ni 0.5000 0.5000 0.0000  4 Ge 2.44
5 Ni 0.0000 0.5000 0.3515  1 Ge 2.36, 4 Sn 2.61
6 Sn 0.5000 0.5000 0.5000  4 Ni 2.61
7 Ge 0.0000 0.5000 0.1174  5 Ni 2.36-2.44
8 Ni 0.5000 0.0000 0.6485  1 Ge 2.36, 4 Sn 2.61
9 Nd 0.5000 0.0000 0.2289  8 Ni 3.14-3.27, 5 Ge 3.23-3.49, 4 Sn 3.47
10 Ge 0.5000 0.0000 0.8826  5 Ni 2.36-2.44

A plane-wave DFT calculation with PBE-GGA was carried out for a geometry-optimized NdTaW structure.

Properties
- total moment (μB/cell) = 0.00
- E (eV per atom) = -7.806
- ρ (g cm⁻³) = 11.8
- volume (Å³/cell) = 71.4

Cell lengths 4.6570, 4.6570, 4.6570 Å; angles 60.00, 60.00, 60.00 degrees
With the nearest neighbours (Å) after each atom.
Element x y z (fractional)
1 Nd 0.0000 0.0000 0.0000  4 Ta 2.85, 4 W 2.85
2 W 0.7500 0.7500 0.7500  4 Nd 2.85
3 Ta 0.2500 0.2500 0.2500  4 Nd 2.85

A plane-wave DFT calculation with PBE-GGA was carried out for a geometry-optimized MgScAgSe3 structure.

Properties
- total moment (μB/cell) = 0.01
- E (eV per atom) = -4.501
- ρ (g cm⁻³) = 5.3
- volume (Å³/cell) = 258.4

Cell lengths 6.7451, 6.7451, 10.5531 Å; angles 90.00, 90.00, 32.56 degrees
With the nearest neighbours (Å) after each atom.
Element x y z (fractional)
1 Ag 0.5221 0.5221 0.7500  4 Se 2.56-2.65
2 Sc 0.0000 0.0000 0.0000  4 Se 2.72
3 Sc 0.0000 0.0000 0.5000  4 Se 2.72
4 Se 0.1207 0.1207 0.2500  2 Ag 2.65, 2 Mg 2.73
5 Mg 0.2269 0.2269 0.7500  6 Se 2.73-2.97
6 Mg 0.7731 0.7731 0.2500  6 Se 2.73-2.97
7 Se 0.3563 0.3563 0.0584  1 Ag 2.56, 2 Sc 2.72
8 Ag 0.4779 0.4779 0.2500  4 Se 2.56-2.65
9 Se 0.8793 0.8793 0.7500  2 Ag 2.65, 2 Mg 2.73
10 Se 0.3563 0.3563 0.4416  1 Ag 2.56, 2 Sc 2.72
11 Se 0.6437 0.6437 0.5584  1 Ag 2.56, 2 Sc 2.72
12 Se 0.6437 0.6437 0.9416  1 Ag 2.56, 2 Sc 2.72

A plane-wave DFT calculation with PBE-GGA was carried out for a geometry-optimized Hf4Tl3W2N3 structure.

Properties
- total moment (μB/cell) = 0.01
- E (eV per atom) = -8.624
- ρ (g cm⁻³) = 14.6
- volume (Å³/cell) = 396.0

Cell lengths 5.6379, 5.6379, 14.6776 Å; angles 100.35, 100.35, 60.19 degrees
With the nearest neighbours (Å) after each atom.
Element x y z (fractional)
1 Tl 0.2604 0.4150 0.2447  2 W 3.05-3.06, 4 Hf 3.05-3.08, 6 Tl 3.14-3.33
2 W 0.5238 0.3913 0.0768  3 N 2.20-2.35
3 Hf 0.0117 0.2076 0.5831  3 N 2.19-2.21
4 N 0.8590 0.3212 0.0005  2 W 2.20-2.21, 4 Hf 2.20-2.21
5 Hf 0.3044 0.1558 0.4172  3 N 2.19-2.21
6 Hf 0.2076 0.0117 0.0831  3 N 2.19-2.21
7 W 0.6087 0.4762 0.4232  3 N 2.20-2.35
8 W 0.3913 0.5238 0.5768  3 N 2.20-2.35
9 N 0.0000 0.5000 0.5000  4 Hf 2.19, 2 W 2.35
10 N 0.3212 0.8590 0.5005  2 W 2.20-2.21, 4 Hf 2.20-2.21
11 Tl 0.4150 0.2604 0.7447  2 W 3.05-3.06, 4 Hf 3.05-3.08, 6 Tl 3.14-3.33
12 W 0.4762 0.6087 0.9232  3 N 2.20-2.35
13 Hf 0.1558 0.3044 0.9172  3 N 2.19-2.21
14 Hf 0.9883 0.7924 0.4169  3 N 2.19-2.21
15 Tl 0.7396 0.5850 0.7553  2 W 3.05-3.06, 4 Hf 3.05-3.08, 6 Tl 3.14-3.33
16 Hf 0.7924 0.9883 0.9169  3 N 2.19-2.21
17 N 0.5000 0.0000 0.0000  4 Hf 2.19, 2 W 2.35
18 N 0.1410 0.6788 0.9995  2 W 2.20-2.21, 4 Hf 2.20-2.21
19 N 0.6788 0.1410 0.4995  2 W 2.20-2.21, 4 Hf 2.20-2.21
20 Hf 0.8442 0.6956 0.0828  3 N 2.19-2.21
21 Tl 0.5850 0.7396 0.2553  2 W 3.05-3.06, 4 Hf 3.05-3.08, 6 Tl 3.14-3.33
22 Tl 0.9033 0.0967 0.2500  4 Hf 3.07-3.12, 2 W 3.14, 6 Tl 3.14-3.33
23 Tl 0.0967 0.9033 0.7500  4 Hf 3.07-3.12, 2 W 3.14, 6 Tl 3.14-3.33
24 Hf 0.6956 0.8442 0.5828  3 N 2.19-2.21

A plane-wave DFT calculation with PBE-GGA was carried out for a geometry-optimized BaAuO3 structure.

Properties
- E (eV per atom) = -5.061
- ρ (g cm⁻³) = 8.7
- volume (Å³/cell) = 145.6

Cell lengths 5.8442, 5.8442, 5.8442 Å; angles 61.39, 61.39, 61.39 degrees
With the nearest neighbours (Å) after each atom.
Element x y z (fractional)
1 O 0.7500 0.3036 0.1964  2 Au 2.11
2 Au 0.0000 0.0000 0.0000  6 O 2.11
3 O 0.6964 0.8036 0.2500  2 Au 2.11
4 O 0.3036 0.1964 0.7500  2 Au 2.11
5 O 0.8036 0.2500 0.6964  2 Au 2.11
6 Ba 0.2500 0.2500 0.2500  9 O 2.66-2.94
7 Ba 0.7500 0.7500 0.7500  9 O 2.66-2.94
8 Au 0.5000 0.5000 0.5000  6 O 2.11
9 O 0.2500 0.6964 0.8036  2 Au 2.11
10 O 0.1964 0.7500 0.3036  2 Au 2.11

A plane-wave DFT calculation with PBE-GGA was carried out for a geometry-optimized SrCoCuTe structure.

Properties
- total moment (μB/cell) = 1.64
- E (eV per atom) = -3.700
- ρ (g cm⁻³) = 6.5
- volume (Å³/cell) = 85.7

Cell lengths 4.9486, 4.9486, 4.9486 Å; angles 60.00, 60.00, 60.00 degrees
With the nearest neighbours (Å) after each atom.
Element x y z (fractional)
1 Sr 0.0000 0.0000 0.0000  4 Te 3.03, 4 Cu 3.03
2 Cu 0.7500 0.7500 0.7500  4 Co 3.03, 4 Sr 3.03
3 Co 0.5000 0.5000 0.5000  4 Cu 3.03, 4 Te 3.03
4 Te 0.2500 0.2500 0.2500  4 Sr 3.03, 4 Co 3.03

A plane-wave DFT calculation with PBE-GGA was carried out for a geometry-optimized RbNa2Hg2 structure.

Properties
- E (eV per atom) = -1.020
- ρ (g cm⁻³) = 5.2
- volume (Å³/cell) = 168.7

Cell lengths 7.7080, 7.7080, 7.7080 Å; angles 142.48, 142.48, 54.10 degrees
With the nearest neighbours (Å) after each atom.
Element x y z (fractional)
1 Hg 0.3910 0.3910 0.0000  1 Hg 2.99, 4 Na 3.15
2 Rb 0.0000 0.0000 0.0000  8 Hg 3.81, 8 Na 4.23
3 Hg 0.6090 0.6090 0.0000  1 Hg 2.99, 4 Na 3.15
4 Na 0.2500 0.7500 0.5000  4 Hg 3.15, 4 Na 3.51
5 Na 0.7500 0.2500 0.5000  4 Hg 3.15, 4 Na 3.51

A plane-wave DFT calculation with PBE-GGA was carried out for a geometry-optimized K2SmTe2 structure.

Properties
- total moment (μB/cell) = 0.57
- E (eV per atom) = -3.659
- ρ (g cm⁻³) = 3.7
- volume (Å³/cell) = 429.6

Cell lengths 8.9818, 8.9818, 8.9818 Å; angles 120.48, 77.69, 134.91 degrees
With the nearest neighbours (Å) after each atom.
Element x y z (fractional)
1 K 0.6447 0.8663 0.5110  5 Te 3.54-3.76
2 K 0.3553 0.1337 0.4890  5 Te 3.54-3.76
3 Te 0.1107 0.2331 0.3438  2 Sm 3.11
4 Te 0.8893 0.7669 0.6562  2 Sm 3.11
5 Te 0.3893 0.7331 0.1224  2 Sm 3.11
6 Sm 0.7500 0.7500 0.0000  4 Te 3.11, 2 Sm 3.44
7 Sm 0.2500 0.2500 0.0000  4 Te 3.11, 2 Sm 3.44
8 K 0.1447 0.6337 0.7784  5 Te 3.54-3.76
9 K 0.8553 0.3663 0.2216  5 Te 3.54-3.76
10 Te 0.6107 0.2669 0.8776  2 Sm 3.11